{"formula": "Li2HgGe2", "functional": "GGA-PBE", "state": "relaxed", "sg": "No. 139", "total_energy_ev_per_fu": -13.462, "ef_ev_per_fu": -0.1, "lattice_angstrom": [[4.0331, 0.0000, 0.0000], [0.0000, 4.0331, 0.0000], [0.0000, 0.0000, 11.8512]], "species": ["Li", "Li", "Li", "Li", "Hg", "Hg", "Ge", "Ge", "Ge", "Ge"], "fractional_positions": [[0.0000, 0.5000, 0.2500], [0.0000, 0.5000, 0.7500], [0.5000, 0.0000, 0.2500], [0.5000, 0.0000, 0.7500], [0.0000, 0.0000, 0.0000], [0.5000, 0.5000, 0.5000], [0.0000, 0.0000, 0.3999], [0.0000, 0.0000, 0.6001], [0.5000, 0.5000, 0.1001], [0.5000, 0.5000, 0.8999]]}

***

{"formula": "Li2HgGe", "functional": "GGA-PBE", "state": "relaxed", "sg": "No. 122", "total_energy_ev_per_fu": -9.036, "ef_ev_per_fu": -0.3, "lattice_angstrom": [[7.3790, 0.0000, 0.0000], [0.0000, 7.3790, 0.0000], [0.0000, 0.0000, 5.7330]], "species": ["Li", "Li", "Li", "Li", "Li", "Li", "Li", "Li", "Hg", "Hg", "Hg", "Hg", "Ge", "Ge", "Ge", "Ge"], "fractional_positions": [[0.2437, 0.2500, 0.1250], [0.2500, 0.7437, 0.3750], [0.2500, 0.7563, 0.8750], [0.2563, 0.2500, 0.6250], [0.7437, 0.7500, 0.6250], [0.7500, 0.2437, 0.8750], [0.7500, 0.2563, 0.3750], [0.7563, 0.7500, 0.1250], [0.0000, 0.0000, 0.5000], [0.0000, 0.5000, 0.7500], [0.5000, 0.0000, 0.2500], [0.5000, 0.5000, 0.0000], [0.0000, 0.0000, 0.0000], [0.0000, 0.5000, 0.2500], [0.5000, 0.0000, 0.7500], [0.5000, 0.5000, 0.5000]]}

***

{"formula": "Li5Hg2Ge", "functional": "GGA-PBE", "state": "relaxed", "sg": "No. 139", "total_energy_ev_per_fu": -17.566, "ef_ev_per_fu": -2.8, "lattice_angstrom": [[4.6381, 0.0000, 0.0000], [0.0000, 4.6381, 0.0000], [0.0000, 0.0000, 12.5744]], "species": ["Li", "Li", "Li", "Li", "Li", "Li", "Li", "Li", "Li", "Li", "Hg", "Hg", "Hg", "Hg", "Ge", "Ge"], "fractional_positions": [[0.0000, 0.0000, 0.0000], [0.0000, 0.5000, 0.1165], [0.0000, 0.5000, 0.3835], [0.0000, 0.5000, 0.6165], [0.0000, 0.5000, 0.8835], [0.5000, 0.0000, 0.1165], [0.5000, 0.0000, 0.3835], [0.5000, 0.0000, 0.6165], [0.5000, 0.0000, 0.8835], [0.5000, 0.5000, 0.5000], [0.0000, 0.0000, 0.2484], [0.0000, 0.0000, 0.7516], [0.5000, 0.5000, 0.2516], [0.5000, 0.5000, 0.7484], [0.0000, 0.0000, 0.5000], [0.5000, 0.5000, 0.0000]]}

***

{"formula": "Li2HgGe", "functional": "GGA-PBE", "state": "relaxed", "sg": "No. 123", "total_energy_ev_per_fu": -9.933, "ef_ev_per_fu": -1.2, "lattice_angstrom": [[3.1029, 0.0000, 0.0000], [0.0000, 3.1029, 0.0000], [0.0000, 0.0000, 7.1350]], "species": ["Li", "Li", "Hg", "Ge"], "fractional_positions": [[0.0000, 0.0000, 0.2257], [0.0000, 0.0000, 0.7743], [0.5000, 0.5000, 0.5000], [0.5000, 0.5000, 0.0000]]}

***

{"formula": "Li2HgGe", "functional": "GGA-PBE", "state": "relaxed", "sg": "No. 65", "total_energy_ev_per_fu": -9.832, "ef_ev_per_fu": -1.1, "lattice_angstrom": [[6.3524, 0.0000, 0.0000], [0.0000, 6.9719, 0.0000], [0.0000, 0.0000, 3.0803]], "species": ["Li", "Li", "Li", "Li", "Hg", "Hg", "Ge", "Ge"], "fractional_positions": [[0.2500, 0.2500, 0.0000], [0.2500, 0.7500, 0.0000], [0.7500, 0.2500, 0.0000], [0.7500, 0.7500, 0.0000], [0.0000, 0.0000, 0.5000], [0.5000, 0.5000, 0.5000], [0.0000, 0.5000, 0.5000], [0.5000, 0.0000, 0.5000]]}

***

{"formula": "Li9Hg3Ge2", "functional": "GGA-PBE", "state": "relaxed", "sg": "No. 71", "total_energy_ev_per_fu": -30.563, "ef_ev_per_fu": -3.2, "lattice_angstrom": [[-2.1638, 4.8070, 5.9384], [2.1638, -4.8070, 5.9384], [2.1638, 4.8070, -5.9384]], "species": ["Li", "Li", "Li", "Li", "Li", "Li", "Li", "Li", "Li", "Hg", "Hg", "Hg", "Ge", "Ge"], "fractional_positions": [[0.0000, 0.0000, 0.0000], [0.0522, 0.8551, 0.1971], [0.2447, 0.3774, 0.8673], [0.3420, 0.1449, 0.1971], [0.4899, 0.6226, 0.8673], [0.5101, 0.3774, 0.1327], [0.6580, 0.8551, 0.8029], [0.7553, 0.6226, 0.1327], [0.9478, 0.1449, 0.8029], [0.2356, 0.7356, 0.5000], [0.5000, 0.0000, 0.5000], [0.7644, 0.2644, 0.5000], [0.1358, 0.5000, 0.6358], [0.8642, 0.5000, 0.3642]]}